No. 1
This record from the Alexandria database describes a PBEsol-optimized structure of Co3SnH. The functional is meta-GGA SCAN.

a b c (Å): 3.679 3.679 3.679
angles (deg): 90.00 90.00 90.00
Fractional coordinates of all 5 atoms:
Co 0.000 0.000 0.500
Co 0.000 0.500 0.000
Co 0.500 0.000 0.000
Sn 0.500 0.500 0.500
H 0.000 0.000 0.000

Output
As for the energy: -90.38 eV/f.u.

=====

No. 2
This record from the Alexandria database describes a PBEsol-optimized structure of KAu2. The functional is meta-GGA SCAN.

a b c (Å): 5.105 5.105 2.836
angles (deg): 90.00 90.00 120.00
Fractional coordinates of all 3 atoms:
K 0.000 0.000 0.000
Au 0.333 0.667 0.500
Au 0.667 0.333 0.500

Output
As for the formation energy: -0.20 eV per atom.

=====

No. 3
This record from the Alexandria database describes a PBEsol-optimized structure of ScCr2Au. The functional is meta-GGA SCAN.

a b c (Å): 3.989 3.989 3.928
angles (deg): 90.00 90.00 90.00
Fractional coordinates of all 4 atoms:
Sc 0.000 0.000 0.000
Cr 0.000 0.500 0.500
Cr 0.500 0.000 0.500
Au 0.500 0.500 0.000

Output
As for the formation energy: -0.18 eV per atom. For the energy relative to the lowest polymorph listed for this composition, the calculation gives 0 meV per atom.

=====

No. 4
This record from the Alexandria database describes a PBEsol-optimized structure of Si3PdSe. The functional is meta-GGA SCAN.

a b c (Å): 4.636 4.636 4.636
angles (deg): 90.00 90.00 90.00
Fractional coordinates of all 5 atoms:
Si 0.000 0.000 0.500
Si 0.000 0.500 0.000
Si 0.500 0.000 0.000
Pd 0.000 0.000 0.000
Se 0.500 0.500 0.500

Output
The value obtained for the uncorrected formation energy is 0.591 eV per atom.

=====

No. 5
This record from the Alexandria database describes a PBEsol-optimized structure of Ge3PdBr. The functional is meta-GGA SCAN.

a b c (Å): 4.973 4.973 4.973
angles (deg): 90.00 90.00 90.00
Fractional coordinates of all 5 atoms:
Ge 0.000 0.000 0.500
Ge 0.000 0.500 0.000
Ge 0.500 0.000 0.000
Pd 0.500 0.500 0.500
Br 0.000 0.000 0.000

Output
The value obtained for the uncorrected formation energy is 1.298 eV per atom.

=====

No. 6
This record from the Alexandria database describes a PBEsol-optimized structure of GdTmCd2. The functional is meta-GGA SCAN.

a b c (Å): 5.188 5.188 5.188
angles (deg): 60.00 60.00 60.00
Fractional coordinates of all 4 atoms:
Gd 0.000 0.000 0.000
Tm 0.500 0.500 0.500
Cd 0.250 0.250 0.250
Cd 0.750 0.750 0.750

Output
As for the formation energy: -0.40 eV per atom.